Entry 1:
First-principles (PBE) data for an optimized crystal structure of La2TbErIn2, as listed in Alexandria.

## Properties
DOS(E_F) in states/eV/atom: 1.033
Size of the total moment in μB per cell: 0.0
Calculated formation energy in meV per atom: -357
Total DFT energy (no corrections) in hartree per atom: -0.163

```
data_La2TbErIn2
_chemical_formula_sum 'La4 Tb2 Er2 In4'
_symmetry_space_group_name_H-M 'P m c 21'
_symmetry_Int_Tables_number 26
_cell_length_a 5.155
_cell_length_b 10.245
_cell_length_c 6.890
_cell_angle_alpha 90.00
_cell_angle_beta 90.00
_cell_angle_gamma 90.00
loop_
_symmetry_equiv_pos_as_xyz
'x,y,z'
'-x,-y,z+1/2'
'-x,y,z'
'x,-y,z+1/2'
loop_
_atom_site_label
_atom_site_type_symbol
_atom_site_fract_x
_atom_site_fract_y
_atom_site_fract_z
La1 La 0.000 0.058 0.000
La2 La 0.500 0.180 0.225
Tb1 Tb 0.500 0.459 0.870
Er1 Er 0.000 0.310 0.590
In1 In 0.000 0.386 0.133
In2 In 0.500 0.151 0.712
```

***

Entry 2:
First-principles (PBE) data for an optimized crystal structure of LaTbErIn, as listed in Alexandria.

## Properties
DOS(E_F) in states/eV/atom: 1.922
Size of the total moment in μB per cell: 1.7
Calculated formation energy in meV per atom: -86
Total DFT energy (no corrections) in hartree per atom: -0.158

```
data_LaTbErIn
_chemical_formula_sum 'La4 Tb4 Er4 In4'
_symmetry_space_group_name_H-M 'F -4 3 m'
_symmetry_Int_Tables_number 216
_symmetry_space_group_name_Hall 'F -4 2 3'
_cell_length_a 7.754
_cell_length_b 7.754
_cell_length_c 7.754
_cell_angle_alpha 90.00
_cell_angle_beta 90.00
_cell_angle_gamma 90.00
loop_
_atom_site_label
_atom_site_type_symbol
_atom_site_fract_x
_atom_site_fract_y
_atom_site_fract_z
La1 La 0.000 0.000 0.000
Tb1 Tb 0.250 0.250 0.250
Er1 Er 0.250 0.250 0.750
In1 In 0.000 0.000 0.500
```

***

What is the formula in the second record?
LaTbErIn